First-principles (PBE-GGA) data for a relaxed structure of LaYPb2, as listed in Alexandria.

E: -5.232 eV/atom
symmetry: No. 10
formation energy from the elements: -0.53 eV/atom

The structure in CIF format:
```
data_LaYPb2
_chemical_formula_sum 'La1 Y1 Pb2'
_symmetry_space_group_name_H-M 'P 1'
_symmetry_Int_Tables_number 1
_cell_length_a 4.532
_cell_length_b 3.607
_cell_length_c 8.163
_cell_angle_alpha 63.61
_cell_angle_beta 90.00
_cell_angle_gamma 90.00
loop_
_symmetry_equiv_pos_as_xyz
'x,y,z'
loop_
_atom_site_label
_atom_site_fract_x
_atom_site_fract_y
_atom_site_fract_z
Pb1 0.000 0.515 0.483
Y1 0.500 0.250 0.250
La1 0.500 0.750 0.750
Pb2 0.000 0.985 0.017
```